A relaxed structure of KNa2UCl6, computed with PBE.

Structure (POSCAR):
```
KNa2UCl6
1.0
3.6494 2.1070 6.5842
-3.6494 2.1070 6.5842
0.0000 -4.2139 6.5842
K Na U Cl
1 2 1 6
Cartesian
0.0000 0.0000 0.0000 K
0.0000 0.0000 5.6589 Na
0.0000 0.0000 15.7526 Na
0.0000 0.0000 9.5849 U
-2.0732 -0.2777 7.7684 Cl
-1.3007 -2.0589 10.9213 Cl
1.2771 -1.6566 7.7684 Cl
-1.1327 2.1559 10.9213 Cl
0.7961 1.9343 7.7684 Cl
2.4334 -0.0970 10.9213 Cl
```

Calculated values
For the size of the total moment, the calculation gives 3.00 μB/cell. As for the space group: R3, No. 146. The calculation puts the energy relative to the elements, uncorrected at -173 kJ/mol of atoms. The calculated total energy comes out at -44.0 eV per cell.

=====

A relaxed structure of CdHg2F, computed with PBE.

Structure (POSCAR):
```
CdHg2F
1.0
1.6624 0.9598 9.4320
-1.6624 0.9598 9.4320
0.0000 -1.9195 9.4320
Cd Hg F
1 2 1
Cartesian
0.0000 0.0000 0.0000 Cd
0.0000 0.0000 2.8533 Hg
0.0000 0.0000 25.4426 Hg
0.0000 0.0000 14.1480 F
```

Calculated values
For the size of the total moment, the calculation gives 0.00 μB/cell. As for the space group: R-3m, No. 166. The calculation puts the energy relative to the elements, uncorrected at -51 kJ/mol of atoms. The calculated total energy comes out at -5.5 eV per cell. For the distance to the lowest polymorph of the same formula, the calculation gives 28 meV/atom.

=====

A relaxed structure of TlRe2H8, computed with PBE.

Structure (POSCAR):
```
TlRe2H8
1.0
2.3465 -4.0240 0.0000
2.3465 4.0240 0.0000
-0.0169 0.0000 5.9639
Tl Re H
1 2 8
Cartesian
0.0000 0.0000 0.0000 Tl
2.3969 1.3785 2.9682 Re
2.3969 -1.3785 2.9682 Re
1.7209 2.9268 2.3244 H
0.8429 1.3097 3.9428 H
1.4928 0.0000 2.2041 H
2.4303 1.4186 1.3081 H
0.8429 -1.3097 3.9428 H
3.0495 0.0000 4.0104 H
2.4303 -1.4186 1.3081 H
1.7209 -2.9268 2.3244 H
```

Calculated values
For the size of the total moment, the calculation gives 0.00 μB/cell. As for the space group: Cm, No. 8. The calculated total energy comes out at -51.5 eV per cell.

=====

A relaxed structure of Mg2RuPt, computed with PBE.

Structure (POSCAR):
```
Mg2RuPt
1.0
2.9499 -3.7914 0.0000
2.9499 3.7914 0.0000
0.0000 0.0000 2.8214
Mg Ru Pt
2 1 1
Cartesian
1.4749 1.8957 0.0000 Mg
1.4749 -1.8957 0.0000 Mg
0.0000 0.0000 1.4107 Ru
2.9499 0.0000 1.4107 Pt
```

Calculated values
For the size of the total moment, the calculation gives 0.00 μB/cell. As for the space group: Cmmm, No. 65. As for the formation energy: -0.307 eV per atom. The calculated total energy comes out at -19.7 eV per cell.

=====

A relaxed structure of ZrCo2TcC, computed with PBE.

Structure (POSCAR):
```
ZrCo2TcC
1.0
3.8881 0.0000 0.0000
0.0000 3.8881 0.0000
0.0000 0.0000 4.1104
Zr Co Tc C
1 2 1 1
Cartesian
0.0000 0.0000 0.0000 Zr
0.0000 1.9440 2.0552 Co
1.9440 0.0000 2.0552 Co
1.9440 1.9440 0.0000 Tc
1.9440 1.9440 2.0552 C
```

Calculated values
For the size of the total moment, the calculation gives 0.94 μB/cell. As for the space group: P4/mmm, No. 123. As for the formation energy: -0.228 eV per atom. The calculated total energy comes out at -43.5 eV per cell.

=====

A relaxed structure of AcYRhBr, computed with PBE.

Structure (POSCAR):
```
AcYRhBr
1.0
2.0803 1.2010 8.0500
-2.0803 1.2010 8.0500
0.0000 -2.4021 8.0500
Ac Y Rh Br
1 1 1 1
Cartesian
0.0000 0.0000 0.0000 Ac
0.0000 0.0000 19.1934 Y
0.0000 0.0000 9.7002 Rh
0.0000 0.0000 5.2951 Br
```

Calculated values
For the size of the total moment, the calculation gives 0.00 μB/cell. As for the space group: R3m, No. 160. The calculation puts the energy relative to the elements, uncorrected at -105 kJ/mol of atoms. The calculated total energy comes out at -24.0 eV per cell.

=====

A relaxed structure of LaPa3C, computed with PBE.

Structure (POSCAR):
```
LaPa3C
1.0
4.8997 0.0000 0.0000
0.0000 4.8997 0.0000
0.0000 0.0000 4.8997
La Pa C
1 3 1
Cartesian
0.0000 0.0000 0.0000 La
0.0000 2.4499 2.4499 Pa
2.4499 0.0000 2.4499 Pa
2.4499 2.4499 0.0000 Pa
2.4499 2.4499 2.4499 C
```

Calculated values
For the size of the total moment, the calculation gives 0.00 μB/cell. As for the space group: Pm-3m, No. 221. As for the formation energy: -0.024 eV per atom. The calculated total energy comes out at -42.8 eV per cell.

=====

A relaxed structure of ZrTl3Zn, computed with PBE.

Structure (POSCAR):
```
ZrTl3Zn
1.0
5.7510 0.0000 0.0000
0.0000 5.7510 0.0000
0.0000 0.0000 5.7510
Zr Tl Zn
1 3 1
Cartesian
0.0000 0.0000 0.0000 Zr
0.0000 0.0000 2.8755 Tl
0.0000 2.8755 0.0000 Tl
2.8755 0.0000 0.0000 Tl
2.8755 2.8755 2.8755 Zn
```

Calculated values
For the size of the total moment, the calculation gives 0.00 μB/cell. As for the space group: Pm-3m, No. 221. As for the formation energy: 0.656 eV per atom. The calculated total energy comes out at -13.6 eV per cell.

=====

A relaxed structure of TeSBr2, computed with PBE.

Structure (POSCAR):
```
TeSBr2
1.0
0.0000 3.6201 3.6201
3.6201 0.0000 3.6201
3.6201 3.6201 0.0000
Te S Br
1 1 2
Cartesian
0.0000 0.0000 0.0000 Te
3.6201 3.6201 3.6201 S
1.8101 1.8101 1.8101 Br
5.4302 5.4302 5.4302 Br
```

Calculated values
For the size of the total moment, the calculation gives 0.00 μB/cell. As for the space group: Fm-3m, No. 225. The calculation puts the energy relative to the elements, uncorrected at 70 kJ/mol of atoms. The calculated total energy comes out at -7.7 eV per cell. For the distance to the lowest polymorph of the same formula, the calculation gives 852 meV/atom.

=====

A relaxed structure of Ho4SbPd, computed with PBE.

Structure (POSCAR):
```
Ho4SbPd
1.0
6.0620 0.0000 0.0000
0.0000 6.5454 0.0000
-3.0021 0.0000 8.1936
Ho Sb Pd
8 2 2
Cartesian
5.4285 0.0017 1.7277 Ho
-2.3686 6.5437 6.4659 Ho
5.4285 3.2710 1.7277 Ho
-2.3686 3.2744 6.4659 Ho
0.5648 1.6364 4.9268 Ho
2.2894 1.6364 0.8657 Ho
0.7705 4.9091 7.3279 Ho
2.4951 4.9091 3.2669 Ho
-0.4222 4.9091 4.4582 Sb
3.4820 1.6364 3.7355 Sb
1.4250 4.9091 0.5966 Pd
1.6349 1.6364 7.5970 Pd
```

Calculated values
For the size of the total moment, the calculation gives 0.00 μB/cell. As for the space group: P2_1/m, No. 11. The calculation puts the energy relative to the elements, uncorrected at -63 kJ/mol of atoms. The calculated total energy comes out at -63.1 eV per cell. For the distance to the lowest polymorph of the same formula, the calculation gives 0 meV/atom.

=====

A relaxed structure of Th2Se3, computed with PBE.

Structure (POSCAR):
```
Th2Se3
1.0
3.6702 2.1190 6.8155
-3.6702 2.1190 6.8155
0.0000 -4.2379 6.8155
Th Se
4 6
Cartesian
0.0000 0.0000 3.2565 Th
0.0000 0.0000 6.9668 Th
0.0000 0.0000 13.4797 Th
0.0000 0.0000 17.1900 Th
-2.5200 -0.1269 8.5194 Se
-1.1501 -2.2459 11.9271 Se
1.3699 -2.1190 8.5194 Se
-1.3699 2.1190 11.9271 Se
1.1501 2.2459 8.5194 Se
2.5200 0.1269 11.9271 Se
```

Calculated values
For the size of the total moment, the calculation gives 0.00 μB/cell. As for the space group: R-3c, No. 167. The calculation puts the energy relative to the elements, uncorrected at -149 kJ/mol of atoms. The calculated total energy comes out at -66.1 eV per cell.

=====

A relaxed structure of Zn2TeOs, computed with PBE.

Structure (POSCAR):
```
Zn2TeOs
1.0
3.2645 0.0000 0.0000
0.0000 4.6726 0.0000
-0.1890 0.0000 4.6911
Zn Te Os
2 1 1
Cartesian
0.6819 0.0000 1.3362 Zn
2.3936 0.0000 3.3549 Zn
1.6323 2.3363 0.0000 Te
-0.0945 2.3363 2.3455 Os
```

Calculated values
For the size of the total moment, the calculation gives 0.00 μB/cell. As for the space group: P2/m, No. 10. The calculation puts the energy relative to the elements, uncorrected at 51 kJ/mol of atoms. The calculated total energy comes out at -14.8 eV per cell.

=====

A relaxed structure of CaHg3Pb3, computed with PBE.

Structure (POSCAR):
```
CaHg3Pb3
1.0
5.4409 -5.6807 0.0000
5.4409 5.6807 0.0000
-0.3940 0.0000 6.7463
Ca Hg Pb
2 6 6
Cartesian
2.5044 0.0000 1.9836 Ca
7.9835 0.0000 4.7627 Ca
2.4239 2.5068 5.0939 Hg
0.5256 0.0000 4.8569 Hg
2.4239 -2.5068 5.0939 Hg
8.0640 2.5068 1.6524 Hg
9.9623 0.0000 1.8894 Hg
8.0640 -2.5068 1.6524 Hg
5.4409 3.2238 0.0000 Pb
5.2439 2.6607 3.3731 Pb
4.3933 0.0000 5.2693 Pb
6.0946 0.0000 1.4770 Pb
5.2439 -2.6607 3.3731 Pb
5.4409 -3.2238 0.0000 Pb
```

Calculated values
For the size of the total moment, the calculation gives 0.00 μB/cell. As for the space group: C2/m, No. 12. As for the formation energy: -0.114 eV per atom. The calculated total energy comes out at -29.7 eV per cell. For the distance to the lowest polymorph of the same formula, the calculation gives 0 meV/atom.